Compound: Sc2CdHPd
Source: the Alexandria database
Functional: GGA-PBE
Structure: relaxed

Computed properties:
- ΔE to the lowest computed polymorph (meV per atom) = 102
- symmetry = P4/mmm, No. 123
- total DFT energy (no corrections) (eV per atom) = -4.822

a = 4.433 Å, b = 4.433 Å, c = 4.130 Å
α = 90.00°, β = 90.00°, γ = 90.00°
Each line ends with the local moment (μB).
Positions (direct):
Sc (0.000, 0.500, 0.000)  0.21
Sc (0.500, 0.000, 0.000)  0.21
H (0.000, 0.000, 0.000)  0.00
Pd (0.500, 0.500, 0.500)  0.01
Cd (0.000, 0.000, 0.500)  0.00



Compound: ScCdHPd2
Source: the Alexandria database
Functional: GGA-PBE
Structure: relaxed

Computed properties:
- ΔE to the lowest computed polymorph (meV per atom) = 0
- symmetry = P4/mmm, No. 123
- total DFT energy (no corrections) (eV per atom) = -4.643

a = 4.185 Å, b = 4.185 Å, c = 4.168 Å
α = 90.00°, β = 90.00°, γ = 90.00°
Positions (direct):
Sc (0.000, 0.000, 0.500)
H (0.000, 0.000, 0.000)
Pd (0.000, 0.500, 0.000)
Pd (0.500, 0.000, 0.000)
Cd (0.500, 0.500, 0.500)



Compound: ScCdHPd2
Source: the Alexandria database
Functional: GGA-PBE
Structure: relaxed

Computed properties:
- ΔE to the lowest computed polymorph (meV per atom) = 402
- symmetry = P4/mmm, No. 123
- total DFT energy (no corrections) (eV per atom) = -4.240

a = 5.012 Å, b = 3.447 Å, c = 5.012 Å
α = 90.00°, β = 90.00°, γ = 90.00°
Positions (direct):
Sc (0.000, 0.000, 0.000)
H (0.000, 0.500, 0.000)
Pd (0.000, 0.000, 0.500)
Pd (0.500, 0.000, 0.000)
Cd (0.500, 0.500, 0.500)



Compound: Cd2HPd6Se
Source: the Alexandria database
Functional: GGA-PBE
Structure: relaxed

Computed properties:
- symmetry = P-1, No. 2
- total DFT energy (no corrections) (eV per atom) = -4.208

a = 5.989 Å, b = 5.851 Å, c = 6.825 Å
α = 117.16°, β = 126.42°, γ = 89.28°
Positions (direct):
Cd (0.790, 0.203, 0.506)
Cd (0.209, 0.797, 0.494)
H (0.000, 0.001, 0.000)
Pd (0.708, 0.858, 0.003)
Pd (0.713, 0.704, 0.522)
Pd (0.292, 0.143, 0.997)
Pd (0.824, 0.273, 0.952)
Pd (0.287, 0.297, 0.477)
Pd (0.176, 0.728, 0.047)
Se (0.500, 0.500, 0.000)



Compound: Cd2SiHPd6
Source: the Alexandria database
Functional: GGA-PBE
Structure: relaxed

Computed properties:
- symmetry = P-1, No. 2
- total DFT energy (no corrections) (eV per atom) = -4.550

a = 5.747 Å, b = 6.364 Å, c = 5.766 Å
α = 56.41°, β = 66.77°, γ = 90.03°
Positions (direct):
Cd (0.765, 0.233, 0.533)
Cd (0.235, 0.767, 0.467)
Si (0.000, 0.000, 0.000)
H (0.500, 0.500, 0.000)
Pd (0.291, 0.213, 0.470)
Pd (0.685, 0.708, 0.077)
Pd (0.213, 0.684, 0.027)
Pd (0.787, 0.316, 0.973)
Pd (0.315, 0.292, 0.923)
Pd (0.709, 0.787, 0.530)



Compound: Sr2CdHPd
Source: the Alexandria database
Functional: GGA-PBE
Structure: relaxed

Computed properties:
- ΔE to the lowest computed polymorph (meV per atom) = 0
- symmetry = P4/mmm, No. 123
- total DFT energy (no corrections) (eV per atom) = -2.993

a = 5.536 Å, b = 5.536 Å, c = 3.833 Å
α = 90.00°, β = 90.00°, γ = 90.00°
Positions (direct):
Sr (0.000, 0.500, 0.000)
Sr (0.500, 0.000, 0.000)
H (0.000, 0.000, 0.000)
Pd (0.000, 0.000, 0.500)
Cd (0.500, 0.500, 0.500)



Compound: SrCdH6Pd2
Source: the Alexandria database
Functional: GGA-PBE
Structure: relaxed

Computed properties:
- symmetry = C2/c, No. 15
- total DFT energy (no corrections) (eV per atom) = -3.525

a = 6.730 Å, b = 6.730 Å, c = 5.527 Å
α = 97.74°, β = 97.74°, γ = 112.68°
Positions (direct):
Sr (0.155, 0.845, 0.250)
Sr (0.845, 0.155, 0.750)
Cd (0.673, 0.327, 0.250)
Cd (0.327, 0.673, 0.750)
H (0.983, 0.396, 0.215)
H (0.604, 0.017, 0.285)
H (0.017, 0.604, 0.785)
H (0.396, 0.983, 0.715)
H (0.199, 0.162, 0.018)
H (0.838, 0.801, 0.482)
H (0.801, 0.838, 0.982)
H (0.162, 0.199, 0.518)
H (0.455, 0.653, 0.425)
H (0.347, 0.545, 0.075)
H (0.545, 0.347, 0.575)
H (0.653, 0.455, 0.925)
Pd (0.376, 0.248, 0.786)
Pd (0.752, 0.624, 0.714)
Pd (0.624, 0.752, 0.214)
Pd (0.248, 0.376, 0.286)



Compound: SrCdHPd2
Source: the Alexandria database
Functional: GGA-PBE
Structure: relaxed

Computed properties:
- symmetry = Cmcm, No. 63
- total DFT energy (no corrections) (eV per atom) = -3.734

a = 4.252 Å, b = 6.205 Å, c = 7.630 Å
α = 90.00°, β = 90.00°, γ = 110.04°
Positions (direct):
Sr (0.446, 0.892, 0.750)
Sr (0.554, 0.108, 0.250)
Cd (0.724, 0.449, 0.750)
Cd (0.276, 0.551, 0.250)
H (0.000, 0.000, 0.000)
H (0.000, 0.000, 0.500)
Pd (0.147, 0.295, 0.947)
Pd (0.853, 0.705, 0.053)
Pd (0.147, 0.295, 0.553)
Pd (0.853, 0.705, 0.447)